Material: ScFeTc
Method: DFT, meta-GGA SCAN
State: single point on PBEsol structure

D(E_F)	1.02	states/eV per atom
excess energy over the best structure of this formula in the dataset	0.000	eV per atom
formation energy from the elements	0.1377	eV/atom

Cell lengths 4.1394, 4.1394, 2.9346 Å; angles 90.00, 90.00, 120.00 degrees
Space group P3m1 (No. 156)
Unique sites:
Sc: 0.0000 0.0000 0.0000
Fe: 0.6667 0.3333 0.5834
Tc: 0.3333 0.6667 0.4162